No. 1
{"formula": "SrHgAs2O7", "functional": "PBE", "state": "optimized geometry", "m_tot_mub_per_cell": 0.00, "final_energy_ry_per_atom": -0.4162, "spacegroup": "No. 2", "volume_a3_per_atom": 14.87, "raw_formation_energy_mev_per_atom": -1482, "lattice": [[-2.6002, -1.5307, -5.1040], [1.9229, -6.7928, 2.3425], [-6.9227, 0.8394, 3.1785]], "species": ["O", "O", "As", "O", "O", "As", "Sr", "O", "Hg", "As", "O", "O", "Hg", "O", "O", "O", "O", "Sr", "O", "As", "O", "O"], "fractional_positions": [[0.9400, 0.2244, 0.6532], [0.7865, 0.6201, 0.5999], [0.7911, 0.6678, 0.3788], [0.0863, 0.8855, 0.8425], [0.2785, 0.5505, 0.7402], [0.2089, 0.3322, 0.6212], [0.6812, 0.2722, 0.9374], [0.2135, 0.3799, 0.4001], [0.6901, 0.1745, 0.4054], [0.1887, 0.2273, 0.1837], [0.9137, 0.1145, 0.1575], [0.4154, 0.1923, 0.6336], [0.3099, 0.8255, 0.5946], [0.6078, 0.9156, 0.8243], [0.5846, 0.8077, 0.3664], [0.2517, 0.3713, 0.0389], [0.7483, 0.6287, 0.9611], [0.3188, 0.7278, 0.0626], [0.3922, 0.0844, 0.1757], [0.8113, 0.7727, 0.8163], [0.7215, 0.4495, 0.2598], [0.0600, 0.7756, 0.3468]]}


No. 2
{"formula": "HgTe2AsO8", "functional": "PBE", "state": "optimized geometry", "m_tot_mub_per_cell": 0.00, "final_energy_ry_per_atom": -0.3640, "spacegroup": "No. 12", "volume_a3_per_atom": 13.40, "raw_formation_energy_mev_per_atom": -711, "lattice": [[-3.3935, -4.2558, -0.3515], [0.3861, -4.2056, 4.8711], [-3.9844, -0.7578, 5.3218]], "species": ["O", "O", "Te", "O", "O", "As", "O", "Te", "Hg", "O", "O", "O"], "fractional_positions": [[0.3600, 0.0124, 0.7640], [0.0735, 0.6309, 0.2221], [0.7261, 0.7528, 0.7951], [0.6400, 0.9876, 0.2360], [0.1364, 0.9876, 0.2360], [0.0000, 0.0000, 0.0000], [0.3208, 0.5233, 0.8351], [0.2739, 0.2472, 0.2049], [0.5000, 0.5000, 0.5000], [0.8636, 0.0124, 0.7640], [0.9265, 0.3691, 0.7779], [0.6792, 0.4767, 0.1649]]}


Repeat the second record exactly.
{"formula": "HgTe2AsO8", "functional": "PBE", "state": "optimized geometry", "m_tot_mub_per_cell": 0.00, "final_energy_ry_per_atom": -0.3640, "spacegroup": "No. 12", "volume_a3_per_atom": 13.40, "raw_formation_energy_mev_per_atom": -711, "lattice": [[-3.3935, -4.2558, -0.3515], [0.3861, -4.2056, 4.8711], [-3.9844, -0.7578, 5.3218]], "species": ["O", "O", "Te", "O", "O", "As", "O", "Te", "Hg", "O", "O", "O"], "fractional_positions": [[0.3600, 0.0124, 0.7640], [0.0735, 0.6309, 0.2221], [0.7261, 0.7528, 0.7951], [0.6400, 0.9876, 0.2360], [0.1364, 0.9876, 0.2360], [0.0000, 0.0000, 0.0000], [0.3208, 0.5233, 0.8351], [0.2739, 0.2472, 0.2049], [0.5000, 0.5000, 0.5000], [0.8636, 0.0124, 0.7640], [0.9265, 0.3691, 0.7779], [0.6792, 0.4767, 0.1649]]}


What is the formula in the first record?
SrHgAs2O7